Density functional theory data (PBE+U) for an optimized crystal structure of Mg6MnZnO8.

Cell lengths 4.3067, 4.3067, 8.6025 Å; angles 90.00, 90.00, 90.00 degrees
With the nearest neighbours (Å) after each atom.
Sites, in units of the cell vectors:
Mg: 0.0000 0.0000 0.0000  6 O 2.08-2.15
Mg: 0.0000 0.5000 0.2479  6 O 2.13-2.17
Mg: 0.0000 0.5000 0.7521  6 O 2.13-2.17
Mg: 0.5000 0.0000 0.2479  6 O 2.13-2.17
Mg: 0.5000 0.0000 0.7521  6 O 2.13-2.17
Mg: 0.5000 0.5000 0.0000  6 O 2.12-2.15
Mn: 0.0000 0.0000 0.5000  6 O 2.15-2.22
Zn: 0.5000 0.5000 0.5000  6 O 2.15-2.18
O: 0.0000 0.0000 0.2422  5 Mg 2.08-2.15, 1 Mn 2.22
O: 0.0000 0.0000 0.7578  5 Mg 2.08-2.15, 1 Mn 2.22
O: 0.0000 0.5000 0.0000  6 Mg 2.13-2.15
O: 0.0000 0.5000 0.5000  2 Mn 2.15, 2 Zn 2.15, 2 Mg 2.17
O: 0.5000 0.0000 0.0000  6 Mg 2.13-2.15
O: 0.5000 0.0000 0.5000  2 Mn 2.15, 2 Zn 2.15, 2 Mg 2.17
O: 0.5000 0.5000 0.2469  5 Mg 2.12-2.15, 1 Zn 2.18
O: 0.5000 0.5000 0.7531  5 Mg 2.12-2.15, 1 Zn 2.18

Summary:
DFT total energy = -96.1 eV/cell